{
  "formula": "NiPt4Rh4",
  "functional": "GGA-PBE",
  "state": "relaxed",
  "lattice": [[5.8730, 0.0000, 0.0000], [0.0000, 5.8730, 0.0000], [0.0000, 0.0000, 8.7326]],
  "species": ["Ni", "Ni", "Pt", "Pt", "Pt", "Pt", "Pt", "Pt", "Pt", "Pt", "Rh", "Rh", "Rh", "Rh", "Rh", "Rh", "Rh", "Rh"],
  "frac_coords": [[0.0000, 0.0000, 0.0000], [0.5000, 0.5000, 0.5000], [0.2137, 0.5000, 0.9413], [0.7863, 0.5000, 0.9413], [0.5000, 0.7863, 0.0587], [0.5000, 0.2137, 0.0587], [0.0000, 0.7137, 0.4413], [0.0000, 0.2863, 0.4413], [0.2863, 0.0000, 0.5587], [0.7137, 0.0000, 0.5587], [0.5000, 0.7314, 0.7529], [0.5000, 0.2686, 0.7529], [0.7314, 0.5000, 0.2471], [0.2686, 0.5000, 0.2471], [0.2314, 0.0000, 0.2529], [0.7686, 0.0000, 0.2529], [0.0000, 0.2314, 0.7471], [0.0000, 0.7686, 0.7471]],
  "spacegroup": "P4_2/nmc",
  "polymorph_energy_ev_per_atom": 0.4563,
  "e_tot_ev_per_cell": -110.87,
  "ef_ev_per_atom": 0.435
}